This record from Alexandria describes a geometry-optimized TcPt2W2 structure. The functional is PBE.

Summary:
**ΔE_f**: 0.529 eV/atom
**Calculated density**: 16.35 g cm⁻³

abc: 6.872 6.872 6.872
angles: 148.78 148.78 44.74
Last column: magnetic moment on the atom in μB.
Atoms (fractional coordinates):
W 0.595 0.595 0.000  -0.06
Pt 0.250 0.750 0.500  0.01
Tc 0.000 0.000 0.000  0.79
W 0.405 0.405 0.000  -0.06
Pt 0.750 0.250 0.500  0.01